A plane-wave DFT calculation with PBE was carried out for Cd2HPd3 after structural relaxation.

Computed properties:
The value obtained for the magnetic moment is 0.00 μB/atom. The calculation puts the density of states at the Fermi level at 0.30 states/eV per atom. As for the electronic total energy: -43.90 eV per cell. The space group is Fmmm.

Unit cell a=5.3345 b=5.3345 c=7.6423 alpha=109.05 beta=109.05 gamma=93.72
Last column: nearest neighbours and their distance in Å.
Fractional positions:
Cd (0.7954, 0.7954, 0.0000)  10 Pd 2.92-3.15, 1 Cd 2.99, 2 H 3.17
Cd (0.2046, 0.2046, 0.0000)  10 Pd 2.92-3.15, 1 Cd 2.99, 2 H 3.17
Cd (0.2500, 0.7500, 0.5000)  8 Pd 2.77-2.78, 4 H 2.86
Cd (0.7500, 0.2500, 0.5000)  8 Pd 2.77-2.78, 4 H 2.86
Pd (0.8069, 0.8069, 0.6138)  1 H 1.80
Pd (0.2145, 0.5885, 0.8030)  1 H 1.77
Pd (0.1931, 0.1931, 0.3862)  1 H 1.80
Pd (0.5885, 0.2145, 0.8030)  1 H 1.77
Pd (0.4115, 0.7855, 0.1970)  1 H 1.77
Pd (0.7855, 0.4115, 0.1970)  1 H 1.77
H (0.6729, 0.6729, 0.3459)  3 Pd 1.77-1.80
H (0.3271, 0.3271, 0.6541)  3 Pd 1.77-1.80